Here is crystalline Rb2FePS4 at its relaxed geometry from Alexandria via LeMat-Bulk. Energies are from PBE-GGA.

Summary:
M_tot (μB/f.u.): 3.00
Uncorrected formation energy (eV per atom): -0.63
V (Å³/atom): 29.19
Space group: Fddd (70)
N(E_F) (states/eV per cell): 0.6
Crystal system: orthorhombic

Structure (extended XYZ):
```
16
Lattice="0.000 6.493 11.807 3.046 0.000 11.807 3.046 6.493 0.000" Properties=species:S:1:pos:R:3 pbc="T T T"
Rb 2.285 4.870 1.233
Rb 3.808 8.116 7.136
Rb 2.285 4.870 16.478
Rb 3.808 8.116 22.382
Fe 0.762 1.623 2.952
Fe 5.331 11.362 20.663
P 2.285 4.870 8.855
P 3.808 8.116 14.759
S 3.634 3.722 7.738
S 3.634 6.017 9.972
S 5.157 6.969 15.876
S 5.157 9.263 13.642
S 0.936 3.722 9.972
S 0.936 6.017 7.738
S 2.459 6.969 13.642
S 2.459 9.263 15.876
```